No. 1
Here is a relaxed structure of SbAsOs from Alexandria via LeMat-Bulk. Energies are from PBE.

Cell and atoms, written as POSCAR:
```
SbAsOs
1.0
5.115 0.000 0.002
0.000 3.266 0.000
-2.328 0.000 7.097
Sb As Os
2 2 2
Direct
0.790 0.250 0.588
0.210 0.750 0.412
0.749 0.250 0.043
0.251 0.750 0.957
0.355 0.250 0.726
0.645 0.750 0.274
```

Summary:
Polymorph energy (0 for the lowest one), kJ/mol of formula units: 66
Formation energy from raw total energies, eV/atom: 0.124
E, eV per atom: -6.543
SG: P2_1/m (11)


No. 2
Here is a relaxed structure of Sb2AsOs from Alexandria via LeMat-Bulk. Energies are from PBE.

Cell and atoms, written as POSCAR:
```
Sb2AsOs
1.0
3.216 0.000 0.000
0.000 4.991 0.000
0.000 0.000 4.991
Sb As Os
2 1 1
Direct
0.000 0.000 0.000
0.000 0.500 0.500
0.500 0.500 0.000
0.500 0.000 0.500
```

Summary:
Formation energy from raw total energies, eV/atom: 0.710
E, eV per atom: -5.322
SG: P4/mmm (123)


No. 3
Here is a relaxed structure of Sb2AsOs from Alexandria via LeMat-Bulk. Energies are from PBE.

Cell and atoms, written as POSCAR:
```
Sb2AsOs
1.0
-1.116 1.285 2.593
-1.810 -0.134 -2.515
-3.588 -9.323 3.076
Sb As Os
2 1 1
Direct
0.000 0.000 0.954
0.500 0.500 0.263
0.000 0.000 0.550
0.500 0.500 0.732
```

Summary:
Formation energy from raw total energies, eV/atom: 0.518
E, eV per atom: -5.513
SG: Cmm2 (35)


No. 4
Here is a relaxed structure of SbAsOs from Alexandria via LeMat-Bulk. Energies are from PBE.

Cell and atoms, written as POSCAR:
```
SbAsOs
1.0
-2.977 0.396 0.970
1.125 -3.080 4.711
1.743 5.430 3.134
Sb As Os
2 2 2
Direct
0.000 0.080 0.595
0.500 0.920 0.095
0.000 0.433 0.318
0.500 0.567 0.818
0.000 0.271 0.964
0.500 0.729 0.464
```

Summary:
Polymorph energy (0 for the lowest one), kJ/mol of formula units: 0
Formation energy from raw total energies, eV/atom: -0.102
E, eV per atom: -6.769
SG: Pmn2_1 (31)


No. 5
Here is a relaxed structure of Sb2AsOs from Alexandria via LeMat-Bulk. Energies are from PBE.

Cell and atoms, written as POSCAR:
```
Sb2AsOs
1.0
-2.483 2.588 -2.117
-0.178 1.402 -3.917
-3.663 -7.306 0.124
Sb As Os
2 1 1
Direct
0.862 0.862 0.080
0.857 0.857 0.720
0.567 0.567 0.427
0.213 0.213 0.273
```

Summary:
Formation energy from raw total energies, eV/atom: 0.229
E, eV per atom: -5.802
SG: Cm (8)


No. 6
Here is a relaxed structure of SbAsOs from Alexandria via LeMat-Bulk. Energies are from PBE.

Cell and atoms, written as POSCAR:
```
SbAsOs
1.0
-4.890 -0.232 4.830
1.594 -2.151 1.510
5.829 8.760 6.325
Sb As Os
4 4 4
Direct
0.436 0.000 0.939
0.436 0.500 0.439
0.436 0.000 0.681
0.436 0.500 0.181
0.936 0.000 0.462
0.936 0.500 0.962
0.936 0.000 0.714
0.936 0.500 0.214
0.734 0.000 0.088
0.734 0.500 0.588
0.138 0.000 0.088
0.138 0.500 0.588
```

Summary:
Polymorph energy (0 for the lowest one), kJ/mol of formula units: 69
Formation energy from raw total energies, eV/atom: 0.137
E, eV per atom: -6.530
SG: Amm2 (38)